Material: Ni2PtRh
Method: DFT, meta-GGA SCAN
State: PBEsol geometry

The structure belongs to space group Pmm2 (No. 25); the cell edges are 2.642, 3.657 and 5.179 Å and the angles 90.00°, 90.00° and 90.00°. The distinct sites, in fractional coordinates, are Ni at (0.000, 0.000, 0.000), Ni at (0.500, 0.500, 0.241), Pt at (0.000, 0.000, 0.488) and Rh at (0.500, 0.500, 0.764).

The calculation puts the calculated formation energy at -0.04 eV/atom. Its density of states at the Fermi level is 0.9447 states/eV per atom.